This record from Alexandria via LeMat-Bulk describes a geometry-optimized Eu3Zn5O12 structure. The functional is GGA-PBE.

Computed properties:
E_form (uncorrected) = -1555 meV/atom
Space group = No. 230

a b c (Å): 10.9894 10.9894 10.9894
angles (deg): 109.47 109.47 109.47
Fractional coordinates of all 80 atoms:
Eu1 0.7500 0.3750 0.1250
Eu2 0.8750 0.7500 0.1250
Eu3 0.3750 0.7500 0.6250
Eu4 0.2500 0.1250 0.3750
Eu5 0.8750 0.1250 0.2500
Eu6 0.3750 0.6250 0.2500
Eu7 0.6250 0.3750 0.7500
Eu8 0.1250 0.8750 0.7500
Eu9 0.7500 0.8750 0.6250
Eu10 0.6250 0.2500 0.3750
Eu11 0.1250 0.2500 0.8750
Eu12 0.2500 0.6250 0.8750
Zn1 0.1250 0.3750 0.2500
Zn2 0.0000 0.5000 0.0000
Zn3 0.0000 0.0000 0.0000
Zn4 0.3750 0.2500 0.1250
Zn5 0.5000 0.0000 0.5000
Zn6 0.5000 0.5000 0.0000
Zn7 0.1250 0.7500 0.3750
Zn8 0.7500 0.1250 0.8750
Zn9 0.7500 0.6250 0.3750
Zn10 0.3750 0.1250 0.7500
Zn11 0.6250 0.8750 0.2500
Zn12 0.5000 0.5000 0.5000
Zn13 0.5000 0.0000 0.0000
Zn14 0.0000 0.0000 0.5000
Zn15 0.2500 0.3750 0.6250
Zn16 0.2500 0.8750 0.1250
Zn17 0.0000 0.5000 0.5000
Zn18 0.8750 0.2500 0.6250
Zn19 0.6250 0.7500 0.8750
Zn20 0.8750 0.6250 0.7500
O1 0.7107 0.1261 0.0348
O2 0.3242 0.5348 0.4088
O3 0.9652 0.3739 0.2893
O4 0.5348 0.2107 0.1261
O5 0.5846 0.7107 0.6758
O6 0.9652 0.5912 0.1758
O7 0.3242 0.7893 0.4154
O8 0.0912 0.9154 0.1261
O9 0.5912 0.9652 0.6758
O10 0.7107 0.5846 0.1758
O11 0.7893 0.4652 0.3739
O12 0.8242 0.9088 0.0348
O13 0.1261 0.7107 0.5348
O14 0.3739 0.4088 0.0846
O15 0.0846 0.9088 0.3739
O16 0.4154 0.1261 0.5912
O17 0.0846 0.1758 0.2107
O18 0.4652 0.6758 0.0912
O19 0.8242 0.9154 0.2893
O20 0.1261 0.4154 0.0912
O21 0.3739 0.9652 0.7893
O22 0.5912 0.6261 0.4154
O23 0.9088 0.8242 0.5348
O24 0.7893 0.3242 0.9154
O25 0.4088 0.3739 0.5846
O26 0.0912 0.1758 0.4652
O27 0.2107 0.6758 0.0846
O28 0.1758 0.0846 0.7107
O29 0.6261 0.0348 0.2107
O30 0.8739 0.5846 0.9088
O31 0.5348 0.3242 0.9088
O32 0.5846 0.8739 0.4088
O33 0.9154 0.8242 0.7893
O34 0.9154 0.0912 0.6261
O35 0.8739 0.2893 0.4652
O36 0.1758 0.0912 0.9652
O37 0.6261 0.5912 0.9154
O38 0.4088 0.0348 0.3242
O39 0.2893 0.4154 0.8242
O40 0.2107 0.5348 0.6261
O41 0.9088 0.0846 0.8739
O42 0.6758 0.2107 0.5846
O43 0.4652 0.7893 0.8739
O44 0.0348 0.4088 0.8242
O45 0.4154 0.2893 0.3242
O46 0.0348 0.6261 0.7107
O47 0.6758 0.4652 0.5912
O48 0.2893 0.8739 0.9652

***

This record from Alexandria via LeMat-Bulk describes a geometry-optimized TlCuW4 structure. The functional is GGA-PBE.

Computed properties:
Formation energy from the elements = 0.930 eV/atom
Space group = No. 216

a b c (Å): 5.3572 5.3572 5.3572
angles (deg): 60.00 60.00 60.00
Fractional coordinates of all 6 atoms:
Tl1 0.0000 0.0000 0.0000
Cu1 0.7500 0.7500 0.7500
W1 0.8715 0.3762 0.3762
W2 0.3762 0.3762 0.8715
W3 0.3762 0.8715 0.3762
W4 0.3762 0.3762 0.3762

***

This record from Alexandria via LeMat-Bulk describes a geometry-optimized TaZnIr2 structure. The functional is GGA-PBE.

Computed properties:
Formation energy from the elements = -0.552 eV/atom
Space group = No. 139

a b c (Å): 4.6117 4.6117 4.6117
angles (deg): 126.89 126.89 78.43
Fractional coordinates of all 4 atoms:
Zn1 0.2500 0.7500 0.5000
Ir1 0.0000 0.0000 0.0000
Ir2 0.5000 0.5000 0.0000
Ta1 0.7500 0.2500 0.5000

***

This record from Alexandria via LeMat-Bulk describes a geometry-optimized KTe3As structure. The functional is GGA-PBE.

Computed properties:
E_form (uncorrected) = 1244 meV/atom
Space group = No. 221

a b c (Å): 5.9278 5.9278 5.9278
angles (deg): 90.00 90.00 90.00
Fractional coordinates of all 5 atoms:
As1 0.5000 0.5000 0.5000
Te1 0.0000 0.5000 0.0000
Te2 0.0000 0.0000 0.5000
Te3 0.5000 0.0000 0.0000
K1 0.0000 0.0000 0.0000

***

This record from Alexandria via LeMat-Bulk describes a geometry-optimized Hf2MnWBr structure. The functional is GGA-PBE.

Computed properties:
E_form (uncorrected) = 762 meV/atom
Space group = No. 123

a b c (Å): 4.9899 4.3673 4.9899
angles (deg): 90.00 90.00 90.00
Fractional coordinates of all 5 atoms:
Mn1 0.0000 0.0000 0.0000
Hf1 0.0000 0.0000 0.5000
Hf2 0.5000 0.0000 0.0000
Br1 0.5000 0.5000 0.5000
W1 0.0000 0.5000 0.0000

***

This record from Alexandria via LeMat-Bulk describes a geometry-optimized B5C7 structure. The functional is GGA-PBE.

Computed properties:
Formation energy from the elements = 0.395 eV/atom
Space group = No. 156

a b c (Å): 2.6218 2.6218 14.6978
angles (deg): 90.00 90.00 120.00
Fractional coordinates of all 12 atoms:
B1 0.6667 0.3333 0.8314
B2 0.0000 0.0000 0.9045
B3 0.6667 0.3333 0.7163
B4 0.0000 0.0000 0.3135
B5 0.0000 0.0000 0.5510
C1 0.3333 0.6667 0.6701
C2 0.6667 0.3333 0.2993
C3 0.3333 0.6667 0.5639
C4 0.3333 0.6667 0.1530
C5 0.6667 0.3333 0.1875
C6 0.0000 0.0000 0.0122
C7 0.3333 0.6667 0.0474

***

This record from Alexandria via LeMat-Bulk describes a geometry-optimized Ho11Er4Sc9 structure. The functional is GGA-PBE.

Computed properties:
Formation energy from the elements = 0.072 eV/atom
Space group = No. 65

a b c (Å): 3.4711 14.8862 14.8862
angles (deg): 116.43 90.00 90.00
Fractional coordinates of all 24 atoms:
Ho1 0.0000 0.5941 0.9660
Ho2 0.0000 0.4059 0.0340
Ho3 0.0000 0.9660 0.5941
Ho4 0.0000 0.0340 0.4059
Ho5 0.0000 0.6230 0.3770
Ho6 0.0000 0.3770 0.6230
Ho7 0.0000 0.8116 0.1884
Ho8 0.0000 0.1884 0.8116
Ho9 0.0000 0.0000 0.0000
Ho10 0.0000 0.7892 0.7892
Ho11 0.0000 0.2108 0.2108
Er1 0.5000 0.5834 0.7620
Er2 0.5000 0.4166 0.2380
Er3 0.5000 0.7620 0.5834
Er4 0.5000 0.2380 0.4166
Sc1 0.5000 0.6128 0.1775
Sc2 0.5000 0.3872 0.8225
Sc3 0.5000 0.1775 0.6128
Sc4 0.5000 0.8225 0.3872
Sc5 0.5000 0.7965 0.9844
Sc6 0.5000 0.2035 0.0156
Sc7 0.5000 0.9844 0.7965
Sc8 0.5000 0.0156 0.2035
Sc9 0.5000 0.5000 0.5000

***

This record from Alexandria via LeMat-Bulk describes a geometry-optimized CsBiBr4 structure. The functional is GGA-PBE.

Computed properties:
E_form (uncorrected) = -1113 meV/atom
Space group = No. 14

a b c (Å): 8.5074 11.0086 11.4413
angles (deg): 102.80 90.00 90.00
Fractional coordinates of all 24 atoms:
Cs1 0.7337 0.2951 0.5830
Cs2 0.7663 0.2951 0.0830
Cs3 0.2337 0.7049 0.9170
Cs4 0.2663 0.7049 0.4170
Bi1 0.2285 0.1839 0.8041
Bi2 0.2715 0.1839 0.3041
Bi3 0.7285 0.8161 0.6959
Bi4 0.7715 0.8161 0.1959
Br1 0.9288 0.0438 0.7198
Br2 0.5712 0.0438 0.2198
Br3 0.3281 0.1580 0.5399
Br4 0.1719 0.1580 0.0399
Br5 0.4791 0.3436 0.8614
Br6 0.0308 0.3880 0.8301
Br7 0.0209 0.3436 0.3614
Br8 0.4692 0.3880 0.3301
Br9 0.5308 0.6120 0.6699
Br10 0.9791 0.6564 0.6386
Br11 0.9692 0.6120 0.1699
Br12 0.5209 0.6564 0.1386
Br13 0.8281 0.8420 0.9601
Br14 0.6719 0.8420 0.4601
Br15 0.4288 0.9562 0.7802
Br16 0.0712 0.9562 0.2802

***

This record from Alexandria via LeMat-Bulk describes a geometry-optimized Cr2RuRh structure. The functional is GGA-PBE.

Computed properties:
Formation energy from the elements = 0.125 eV/atom
Space group = No. 160

a b c (Å): 8.7063 8.7063 8.7063
angles (deg): 17.56 17.56 17.56
Fractional coordinates of all 4 atoms:
Cr1 0.0002 0.0002 0.0002
Cr2 0.2499 0.2499 0.2499
Rh1 0.5050 0.5050 0.5050
Ru1 0.7449 0.7449 0.7449

***

This record from Alexandria via LeMat-Bulk describes a geometry-optimized ZnIn2Co structure. The functional is GGA-PBE.

Computed properties:
Formation energy from the elements = 0.247 eV/atom
Space group = No. 65

a b c (Å): 4.6916 4.6916 3.2416
angles (deg): 90.01 90.01 101.23
Fractional coordinates of all 4 atoms:
Co1 0.0000 0.5000 0.5000
In1 0.0000 0.0000 0.0000
In2 0.5000 0.5000 0.0000
Zn1 0.5000 0.0000 0.5000

***

This record from Alexandria via LeMat-Bulk describes a geometry-optimized CuGeAs2 structure. The functional is GGA-PBE.

Computed properties:
Formation energy from the elements = -0.001 eV/atom
Space group = No. 122

a b c (Å): 5.6552 5.6552 6.8267
angles (deg): 65.53 65.53 90.00
Fractional coordinates of all 8 atoms:
As1 0.6077 0.1250 0.2500
As2 0.1423 0.6250 0.2500
As3 0.3750 0.3923 0.7500
As4 0.8750 0.8577 0.7500
Ge1 0.0000 0.0000 0.0000
Ge2 0.7500 0.2500 0.5000
Cu1 0.5000 0.5000 0.0000
Cu2 0.2500 0.7500 0.5000

***

This record from Alexandria via LeMat-Bulk describes a geometry-optimized CoCu2AgSn structure. The functional is GGA-PBE.

Computed properties:
Formation energy from the elements = 1.231 eV/atom
Space group = No. 123

a b c (Å): 4.7182 4.7182 5.0458
angles (deg): 90.00 90.00 90.00
Fractional coordinates of all 5 atoms:
Cu1 0.0000 0.5000 0.0000
Cu2 0.5000 0.0000 0.0000
Co1 0.5000 0.5000 0.5000
Sn1 0.0000 0.0000 0.5000
Ag1 0.0000 0.0000 0.0000

***

Computed raw total energy, in the same sequence as the records: -511.2, -52.7, -33.1, -9.0, -39.9, -93.2, -123.9, -72.4, -35.4, -12.9, -36.0, -16.0 eV/cell.